Density functional theory data (PBE) for TiZnNi4 after structural relaxation.

POSCAR file:
```
TiZnNi4
1.0
-3.308 -0.512 0.849
-1.205 -4.357 -0.301
-0.579 1.336 5.576
Ni Zn Ti
4 1 1
Cartesian
-3.796 -3.806 3.984
-3.844 -1.488 5.198
-1.249 -2.045 0.925
-1.296 0.273 2.140
-2.546 -1.766 3.062
0.000 0.000 0.000
```

Computed properties:
DFT formation energy: -285.7 meV/atom
total magnetic moment: 0.0 μB/f.u.
Fermi-level density of states: 0.58 states/eV/atom
crystal system: monoclinic